1.
A plane-wave DFT calculation with PBE was carried out for BaPmS2O6 after structural relaxation.

## Properties
SG = R-3
E_form (uncorrected) = -1.92 eV/atom
Spin magnetization = 0.82 μB/f.u.
Total energy = -63.88 eV for the cell shown

```
data_BaPmS2O6
_chemical_formula_sum 'Ba1 Pm1 S2 O6'
_cell_length_a 7.8269
_cell_length_b 7.8269
_cell_length_c 7.8269
_cell_angle_alpha 38.83
_cell_angle_beta 38.83
_cell_angle_gamma 38.83
_space_group_name_H-M_alt 'P 1'
_space_group_IT_number 1
_space_group_name_Hall 'P 1'
loop_
_atom_site_label
_atom_site_fract_x
_atom_site_fract_y
_atom_site_fract_z
Ba1 0.0000 0.0000 0.0000
Pm1 0.5000 0.5000 0.5000
S1 0.2648 0.2648 0.2648
S2 0.7352 0.7352 0.7352
O1 0.0434 0.7565 0.4967
O2 0.2435 0.5033 0.9566
O3 0.4967 0.0434 0.7565
O4 0.5033 0.9566 0.2435
O5 0.7565 0.4967 0.0434
O6 0.9566 0.2435 0.5033
```

=====

2.
A plane-wave DFT calculation with PBE was carried out for Ba2PmSb2O6 after structural relaxation.

## Properties
SG = C2/m
E_form (uncorrected) = -2.08 eV/atom
Spin magnetization = 0.00 μB/f.u.
Total energy = -69.48 eV for the cell shown

```
data_Ba2PmSb2O6
_chemical_formula_sum 'Ba2 Pm1 Sb2 O6'
_cell_length_a 6.3371
_cell_length_b 6.3371
_cell_length_c 6.7667
_cell_angle_alpha 112.92
_cell_angle_beta 112.92
_cell_angle_gamma 67.91
_space_group_name_H-M_alt 'P 1'
_space_group_IT_number 1
_space_group_name_Hall 'P 1'
loop_
_atom_site_label
_atom_site_fract_x
_atom_site_fract_y
_atom_site_fract_z
Ba1 0.1853 0.1853 0.1624
Ba2 0.8147 0.8147 0.8376
Pm1 0.0000 0.0000 0.5000
Sb1 0.4667 0.4667 0.7585
Sb2 0.5333 0.5333 0.2415
O1 0.1886 0.7770 0.2160
O2 0.2230 0.8114 0.7840
O3 0.2543 0.2543 0.6184
O4 0.7457 0.7457 0.3816
O5 0.7770 0.1886 0.2160
O6 0.8114 0.2230 0.7840
```

=====

3.
A plane-wave DFT calculation with PBE was carried out for BaPmScO4 after structural relaxation.

## Properties
SG = I4mm
E_form (uncorrected) = -3.14 eV/atom
Spin magnetization = 0.00 μB/f.u.
Total energy = -54.81 eV for the cell shown

```
data_BaPmScO4
_chemical_formula_sum 'Ba1 Pm1 Sc1 O4'
_cell_length_a 7.0592
_cell_length_b 7.0592
_cell_length_c 7.0592
_cell_angle_alpha 146.37
_cell_angle_beta 146.37
_cell_angle_gamma 48.30
_space_group_name_H-M_alt 'P 1'
_space_group_IT_number 1
_space_group_name_Hall 'P 1'
loop_
_atom_site_label
_atom_site_fract_x
_atom_site_fract_y
_atom_site_fract_z
Ba1 0.0000 0.0000 0.0000
Pm1 0.7150 0.7150 0.0000
Sc1 0.3509 0.3509 0.0000
O1 0.1889 0.1889 0.0000
O2 0.3360 0.8360 0.5000
O3 0.5339 0.5339 0.0000
O4 0.8360 0.3360 0.5000
```

=====

4.
A plane-wave DFT calculation with PBE was carried out for BaPm3Se4O12 after structural relaxation.

## Properties
SG = R32
E_form (uncorrected) = -1.69 eV/atom
Spin magnetization = 0.95 μB/f.u.
Total energy = -123.45 eV for the cell shown

```
data_BaPm3Se4O12
_chemical_formula_sum 'Ba1 Pm3 Se4 O12'
_cell_length_a 7.3679
_cell_length_b 7.3679
_cell_length_c 7.3679
_cell_angle_alpha 103.43
_cell_angle_beta 103.43
_cell_angle_gamma 103.43
_space_group_name_H-M_alt 'P 1'
_space_group_IT_number 1
_space_group_name_Hall 'P 1'
loop_
_atom_site_label
_atom_site_fract_x
_atom_site_fract_y
_atom_site_fract_z
Ba1 0.0000 0.0000 0.0000
Pm1 0.0000 0.5705 0.4295
Pm2 0.4295 0.0000 0.5705
Pm3 0.5705 0.4295 0.0000
Se1 0.0975 0.5000 0.9025
Se2 0.5000 0.5000 0.5000
Se3 0.5000 0.9025 0.0975
Se4 0.9025 0.0975 0.5000
O1 0.0094 0.2539 0.3554
O2 0.0560 0.9440 0.5000
O3 0.2539 0.3554 0.0094
O4 0.3339 0.6661 0.5000
O5 0.3554 0.0094 0.2539
O6 0.5000 0.0560 0.9440
O7 0.5000 0.3339 0.6661
O8 0.6446 0.7461 0.9906
O9 0.6661 0.5000 0.3339
O10 0.7461 0.9906 0.6446
O11 0.9440 0.5000 0.0560
O12 0.9906 0.6446 0.7461
```